No. 1
{
  "formula": "Cs3KCa",
  "functional": "PBE",
  "state": "relaxed",
  "space_group": "No. 221",
  "vol_a3_per_atom": 106.768,
  "formation_enthalpy_0k_mev_per_atom": 378.9,
  "polymorph_energy_ev_per_atom": 0.065,
  "lattice": [[8.112, 0.000, 0.000], [0.000, 8.112, 0.000], [0.000, 0.000, 8.112]],
  "species": ["Cs", "Cs", "Cs", "Ca", "K"],
  "fractional_positions": [[0.000, 0.500, 0.000], [0.500, 0.000, 0.000], [0.000, 0.000, 0.500], [0.500, 0.500, 0.500], [0.000, 0.000, 0.000]]
}

No. 2
{
  "formula": "CsK2Ca2",
  "functional": "PBE",
  "state": "relaxed",
  "space_group": "No. 127",
  "vol_a3_per_atom": 64.817,
  "formation_enthalpy_0k_mev_per_atom": 209.6,
  "polymorph_energy_ev_per_atom": 0.000,
  "lattice": [[12.313, 0.000, 0.000], [0.000, 12.313, 0.000], [0.000, 0.000, 4.275]],
  "species": ["Cs", "Cs", "K", "K", "K", "K", "Ca", "Ca", "Ca", "Ca"],
  "fractional_positions": [[0.500, 0.500, 0.000], [0.000, 0.000, 0.000], [0.320, 0.180, 0.500], [0.180, 0.680, 0.500], [0.680, 0.820, 0.500], [0.820, 0.320, 0.500], [0.390, 0.890, 0.000], [0.110, 0.390, 0.000], [0.890, 0.610, 0.000], [0.610, 0.110, 0.000]]
}

No. 3
{
  "formula": "CsK2Ca",
  "functional": "PBE",
  "state": "relaxed",
  "space_group": "No. 123",
  "vol_a3_per_atom": 67.890,
  "formation_enthalpy_0k_mev_per_atom": 171.0,
  "polymorph_energy_ev_per_atom": 0.028,
  "lattice": [[4.830, 0.000, 0.000], [0.000, 7.498, 0.000], [0.000, 0.000, 7.498]],
  "species": ["K", "K", "Ca", "Cs"],
  "fractional_positions": [[0.000, 0.000, 0.500], [0.000, 0.500, 0.000], [0.500, 0.500, 0.500], [0.500, 0.000, 0.000]]
}

No. 4
{
  "formula": "CsKCa2",
  "functional": "PBE",
  "state": "relaxed",
  "space_group": "No. 225",
  "vol_a3_per_atom": 60.478,
  "formation_enthalpy_0k_mev_per_atom": 299.6,
  "lattice": [[-0.956, 1.661, 6.726], [-1.404, 6.610, 1.804], [-6.376, 1.717, 2.306]],
  "species": ["Ca", "Ca", "K", "Cs"],
  "fractional_positions": [[0.750, 0.750, 0.750], [0.250, 0.250, 0.250], [0.000, 0.000, 0.000], [0.500, 0.500, 0.500]]
}

No. 5
{
  "formula": "CsK2Ca2",
  "functional": "PBE",
  "state": "relaxed",
  "space_group": "No. 139",
  "vol_a3_per_atom": 70.612,
  "formation_enthalpy_0k_mev_per_atom": 320.1,
  "polymorph_energy_ev_per_atom": 0.110,
  "lattice": [[-4.327, 3.220, -2.458], [-3.856, -4.376, 1.057], [-6.195, 3.442, 8.265]],
  "species": ["Cs", "K", "K", "Ca", "Ca"],
  "fractional_positions": [[0.000, 0.000, 0.000], [0.250, 0.750, 0.500], [0.750, 0.250, 0.500], [0.595, 0.595, 0.810], [0.405, 0.405, 0.190]]
}

No. 6
{
  "formula": "Cs2KCa2",
  "functional": "PBE",
  "state": "relaxed",
  "space_group": "No. 127",
  "vol_a3_per_atom": 73.328,
  "formation_enthalpy_0k_mev_per_atom": 274.0,
  "polymorph_energy_ev_per_atom": 0.000,
  "lattice": [[12.784, 0.000, 0.000], [0.000, 12.784, 0.000], [0.000, 0.000, 4.487]],
  "species": ["Cs", "Cs", "Cs", "Cs", "Ca", "Ca", "Ca", "Ca", "K", "K"],
  "fractional_positions": [[0.684, 0.816, 0.500], [0.316, 0.184, 0.500], [0.816, 0.316, 0.500], [0.184, 0.684, 0.500], [0.394, 0.894, 0.000], [0.606, 0.106, 0.000], [0.894, 0.606, 0.000], [0.106, 0.394, 0.000], [0.500, 0.500, 0.000], [0.000, 0.000, 0.000]]
}

No. 7
{
  "formula": "CsK2Ca2",
  "functional": "PBE",
  "state": "relaxed",
  "space_group": "No. 139",
  "vol_a3_per_atom": 72.103,
  "formation_enthalpy_0k_mev_per_atom": 231.8,
  "polymorph_energy_ev_per_atom": 0.022,
  "lattice": [[-9.588, -3.081, 9.704], [-10.254, 4.109, 8.578], [7.466, -1.153, -11.770]],
  "species": ["K", "K", "Ca", "Ca", "Cs"],
  "fractional_positions": [[0.376, 0.376, 0.000], [0.624, 0.624, 0.000], [0.250, 0.750, 0.500], [0.750, 0.250, 0.500], [0.000, 0.000, 0.000]]
}

No. 8
{
  "formula": "CsKNaCa",
  "functional": "PBE",
  "state": "relaxed",
  "space_group": "No. 216",
  "vol_a3_per_atom": 59.605,
  "formation_enthalpy_0k_mev_per_atom": 161.4,
  "lattice": [[6.960, 0.000, 0.000], [3.480, 6.028, 0.000], [3.480, 2.009, 5.683]],
  "species": ["Ca", "Cs", "Na", "K"],
  "fractional_positions": [[0.750, 0.750, 0.750], [0.250, 0.250, 0.250], [0.000, 0.000, 0.000], [0.500, 0.500, 0.500]]
}